Entry 1:
Computed, not measured: a geometry-optimized Na6SnPb structure at the GGA-PBE level of DFT.

Geometry as POSCAR:
```
Na6SnPb
1.0
-4.395 -2.216 2.638
-2.625 -0.820 -5.060
3.005 -6.553 -0.497
Na Sn Pb
6 1 1
direct
0.500 0.804 0.744
0.000 0.197 0.748
0.000 0.197 0.252
0.500 0.331 0.000
0.000 0.661 0.500
0.500 0.804 0.256
0.500 0.301 0.500
0.000 0.703 0.000
```

Computed properties:
Formation energy: -0.127 eV/atom
Distance to the lowest polymorph of the same formula: 0 meV per atom
Total moment: 0.0 μB/cell

Entry 2:
Computed, not measured: a geometry-optimized BaAl2VCo structure at the GGA-PBE level of DFT.

Geometry as POSCAR:
```
BaAl2VCo
1.0
4.682 0.000 0.000
0.000 4.826 0.000
0.000 0.000 4.682
Al V Co Ba
2 1 1 1
direct
0.000 0.000 0.500
0.500 0.000 0.000
0.000 0.500 0.000
0.000 0.000 0.000
0.500 0.500 0.500
```

Computed properties:
Formation energy: 0.110 eV/atom
Total moment: 2.2 μB/cell

Entry 3:
Computed, not measured: a geometry-optimized Be2TlZn structure at the GGA-PBE level of DFT.

Geometry as POSCAR:
```
Be2TlZn
1.0
2.928 0.000 0.000
0.000 2.928 0.000
0.000 0.000 7.443
Be Zn Tl
2 1 1
direct
0.500 0.500 0.160
0.000 0.000 0.031
0.500 0.500 0.832
0.000 0.000 0.477
```

Computed properties:
Formation energy: 0.495 eV/atom
Distance to the lowest polymorph of the same formula: 203 meV per atom
Total moment: 0.0 μB/cell